## P
The following is a DFT calculation (PBE) of crystalline CaLa3Nd7 at its relaxed geometry.

Cell: 6.1295 8.7079 8.7079 Å, 82.59 110.63 110.63°
Atoms (fractional coordinates):
Nd 0.0000 0.5000 0.5000
Nd 0.2975 0.5976 0.9973
Nd 0.7025 0.0027 0.4024
Nd 0.7963 0.7967 0.7967
Nd 0.2037 0.2033 0.2033
Nd 0.2975 0.9973 0.5976
Nd 0.7025 0.4024 0.0027
La 0.0000 0.2162 0.7838
La 0.0000 0.7838 0.2162
La 0.5000 0.0000 0.0000
Ca 0.5000 0.5000 0.5000

* symmetry: Immm (71)
* crystal system: orthorhombic
* DOS at the Fermi energy: 1.52 states/eV/atom

## Q
The following is a DFT calculation (PBE) of crystalline CaLa3Nd7 at its relaxed geometry.

Cell: 6.6756 7.9377 7.9377 Å, 81.44 86.90 86.90°
Atoms (fractional coordinates):
Nd 0.2560 0.0859 0.4298
Nd 0.7937 0.2336 0.2336
Nd 0.7440 0.5702 0.9141
Nd 0.7440 0.9141 0.5702
Nd 0.2560 0.4298 0.0859
Nd 0.0000 0.5000 0.5000
Nd 0.2063 0.7664 0.7664
Ca 0.5000 0.5000 0.5000
La 0.0000 0.8252 0.1748
La 0.5000 0.0000 0.0000
La 0.0000 0.1748 0.8252

* symmetry: C2/m (12)
* crystal system: monoclinic
* DOS at the Fermi energy: 1.41 states/eV/atom

Stability summary - winner: Q; margin: 0.024 eV/atom.

## P
The following is a DFT calculation (PBE) of crystalline CaLaPmNd at its relaxed geometry.

Cell: 5.9315 5.9315 5.9315 Å, 60.00 60.00 60.00°
Atoms (fractional coordinates):
Nd 0.5000 0.5000 0.5000
Ca 0.2500 0.2500 0.2500
La 0.0000 0.0000 0.0000
Pm 0.7500 0.7500 0.7500

* symmetry: F-43m (216)
* crystal system: cubic
* DOS at the Fermi energy: 1.83 states/eV/atom

## Q
The following is a DFT calculation (PBE) of crystalline CaLaPmNd at its relaxed geometry.

Cell: 3.7219 3.7219 12.3437 Å, 90.00 90.00 120.00°
Atoms (fractional coordinates):
Nd 0.0000 0.0000 0.4131
Pm 0.6667 0.3333 0.1778
Ca 0.6667 0.3333 0.6712
La 0.3333 0.6667 0.9372

* symmetry: P3m1 (156)
* crystal system: trigonal
* DOS at the Fermi energy: 1.50 states/eV/atom

Stability summary - winner: Q; margin: 0.084 eV/atom.

## P
The following is a DFT calculation (PBE) of crystalline CaLaTbNd at its relaxed geometry.

Cell: 5.8957 5.8957 5.8957 Å, 60.00 60.00 60.00°
Atoms (fractional coordinates):
Tb 0.7500 0.7500 0.7500
Ca 0.2500 0.2500 0.2500
Nd 0.0000 0.0000 0.0000
La 0.5000 0.5000 0.5000

* symmetry: F-43m (216)
* crystal system: cubic
* DOS at the Fermi energy: 1.70 states/eV/atom

## Q
The following is a DFT calculation (PBE) of crystalline CaLaTbNd at its relaxed geometry.

Cell: 3.6864 3.6864 10.6836 Å, 90.00 90.00 90.00°
Atoms (fractional coordinates):
Nd 0.5000 0.5000 0.3374
Tb 0.0000 0.0000 0.5670
La 0.5000 0.5000 0.8046
Ca 0.0000 0.0000 0.0758

* symmetry: P4mm (99)
* crystal system: tetragonal
* DOS at the Fermi energy: 1.56 states/eV/atom

Stability summary - winner: Q; margin: 0.069 eV/atom.

## P
The following is a DFT calculation (PBE) of crystalline CaLaNdZn at its relaxed geometry.

Cell: 5.5737 5.5737 5.5737 Å, 60.00 60.00 60.00°
Atoms (fractional coordinates):
La 0.2500 0.2500 0.2500
Ca 0.5000 0.5000 0.5000
Zn 0.0000 0.0000 0.0000
Nd 0.7500 0.7500 0.7500

* symmetry: F-43m (216)
* crystal system: cubic
* DOS at the Fermi energy: 1.26 states/eV/atom

## Q
The following is a DFT calculation (PBE) of crystalline CaLaNdZn at its relaxed geometry.

Cell: 3.6647 3.6647 9.4349 Å, 90.00 90.00 90.00°
Atoms (fractional coordinates):
Nd 0.5000 0.5000 0.3696
La 0.0000 0.0000 0.0887
Zn 0.0000 0.0000 0.5630
Ca 0.5000 0.5000 0.7634

* symmetry: P4mm (99)
* crystal system: tetragonal
* DOS at the Fermi energy: 1.24 states/eV/atom

Stability summary - winner: Q; margin: 0.142 eV/atom.

## P
The following is a DFT calculation (PBE) of crystalline CaLaNi at its relaxed geometry.

Cell: 3.8466 7.1203 7.6095 Å, 117.88 104.61 90.00°
Atoms (fractional coordinates):
Ni 0.0069 0.4309 0.1322
Ni 0.8038 0.2281 0.7261
La 0.4052 0.0920 0.9291
La 0.4054 0.5666 0.9292
Ca 0.1347 0.0585 0.3881
Ca 0.6759 0.5994 0.4702

* symmetry: Immm (71)
* crystal system: orthorhombic
* DOS at the Fermi energy: 1.02 states/eV/atom

## Q
The following is a DFT calculation (PBE) of crystalline CaLaNi at its relaxed geometry.

Cell: 4.2004 3.9041 10.9133 Å, 100.44 90.00 90.00°
Atoms (fractional coordinates):
La 0.7500 0.0691 0.1385
La 0.2500 0.9309 0.8615
Ni 0.2500 0.5384 0.0790
Ni 0.7500 0.4616 0.9210
Ca 0.2500 0.6894 0.3787
Ca 0.7500 0.3106 0.6213

* symmetry: P2_1/m (11)
* crystal system: monoclinic
* DOS at the Fermi energy: 0.88 states/eV/atom

Stability summary - winner: Q; margin: 0.072 eV/atom.

## P
The following is a DFT calculation (PBE) of crystalline CaLaNi at its relaxed geometry.

Cell: 4.9303 4.9303 4.9303 Å, 60.00 60.00 60.00°
Atoms (fractional coordinates):
La 0.5000 0.5000 0.5000
Ca 0.0000 0.0000 0.0000
Ni 0.7500 0.7500 0.7500

* symmetry: F-43m (216)
* crystal system: cubic
* DOS at the Fermi energy: 1.37 states/eV/atom

## Q
The following is a DFT calculation (PBE) of crystalline CaLaNi at its relaxed geometry.

Cell: 4.8204 4.8204 4.8204 Å, 60.00 60.00 60.00°
Atoms (fractional coordinates):
Ca 0.5000 0.5000 0.5000
Ni 0.0000 0.0000 0.0000
La 0.7500 0.7500 0.7500

* symmetry: F-43m (216)
* crystal system: cubic
* DOS at the Fermi energy: 1.11 states/eV/atom

## R
The following is a DFT calculation (PBE) of crystalline CaLaNi at its relaxed geometry.

Cell: 7.0956 7.0957 3.5512 Å, 75.51 75.51 28.98°
Atoms (fractional coordinates):
La 0.7121 0.7121 0.2879
Ni 0.3250 0.3250 0.6750
Ca 0.9630 0.9630 0.0370

* symmetry: I4mm (107)
* crystal system: tetragonal
* DOS at the Fermi energy: 0.93 states/eV/atom

## S
The following is a DFT calculation (PBE) of crystalline CaLaNi at its relaxed geometry.

Cell: 6.9696 6.9696 12.1686 Å, 90.00 90.00 120.00°
Atoms (fractional coordinates):
La 0.5000 0.5000 0.2960
La 0.5000 0.5000 0.7040
La 0.5000 0.0000 0.9627
La 0.5000 0.0000 0.3707
La 0.0000 0.5000 0.6293
La 0.0000 0.5000 0.0373
Ca 0.5000 0.5000 0.0000
Ca 0.5000 0.0000 0.6667
Ca 0.0000 0.0000 0.1667
Ca 0.0000 0.0000 0.8333
Ca 0.0000 0.5000 0.3333
Ca 0.0000 0.0000 0.5000
Ni 0.7832 0.3916 0.8333
Ni 0.2168 0.6084 0.8333
Ni 0.6084 0.3916 0.5000
Ni 0.6084 0.2168 0.1667
Ni 0.3916 0.7832 0.1667
Ni 0.3916 0.6084 0.5000

* symmetry: P6_222 (180)
* crystal system: hexagonal
* DOS at the Fermi energy: 1.05 states/eV/atom

Stability summary - winner: R; margin: 0.015 eV/atom.

## P
The following is a DFT calculation (PBE) of crystalline CaLa2Ni2 at its relaxed geometry.

Cell: 7.9025 7.9025 4.0159 Å, 90.00 90.00 90.00°
Atoms (fractional coordinates):
Ni 0.8795 0.6205 0.0000
Ni 0.1205 0.3795 0.0000
Ni 0.6205 0.1205 0.0000
Ni 0.3795 0.8795 0.0000
Ca 0.5000 0.5000 0.0000
Ca 0.0000 0.0000 0.0000
La 0.3398 0.1602 0.5000
La 0.8398 0.3398 0.5000
La 0.1602 0.6602 0.5000
La 0.6602 0.8398 0.5000

* symmetry: P4/mbm (127)
* crystal system: tetragonal
* DOS at the Fermi energy: 1.02 states/eV/atom

## Q
The following is a DFT calculation (PBE) of crystalline CaLa2Ni2 at its relaxed geometry.

Cell: 8.4092 8.4092 3.3645 Å, 90.00 90.00 90.00°
Atoms (fractional coordinates):
La 0.1394 0.3606 0.0000
La 0.6394 0.1394 0.0000
La 0.8606 0.6394 0.0000
La 0.3606 0.8606 0.0000
Ca 0.5000 0.5000 0.0000
Ca 0.0000 0.0000 0.0000
Ni 0.8355 0.3355 0.5000
Ni 0.6645 0.8355 0.5000
Ni 0.3355 0.1645 0.5000
Ni 0.1645 0.6645 0.5000

* symmetry: P4/mbm (127)
* crystal system: tetragonal
* DOS at the Fermi energy: 1.36 states/eV/atom

Stability summary - winner: P; margin: 0.166 eV/atom.

## P
The following is a DFT calculation (PBE) of crystalline CaLa2Ni2 at its relaxed geometry.

Cell: 5.1469 5.1469 6.5348 Å, 66.81 66.81 90.00°
Atoms (fractional coordinates):
Ni 0.2500 0.7500 0.5000
Ni 0.7500 0.2500 0.5000
La 0.3340 0.3340 0.3320
La 0.6660 0.6660 0.6680
Ca 0.0000 0.0000 0.0000

* symmetry: I4/mmm (139)
* crystal system: tetragonal
* DOS at the Fermi energy: 0.98 states/eV/atom

## Q
The following is a DFT calculation (PBE) of crystalline CaLa2Ni2 at its relaxed geometry.

Cell: 5.3767 5.3767 5.8666 Å, 62.73 62.73 90.00°
Atoms (fractional coordinates):
Ni 0.6337 0.6337 0.7326
Ni 0.3663 0.3663 0.2674
Ca 0.0000 0.0000 0.0000
La 0.2500 0.7500 0.5000
La 0.7500 0.2500 0.5000

* symmetry: I4/mmm (139)
* crystal system: tetragonal
* DOS at the Fermi energy: 0.76 states/eV/atom

## R
The following is a DFT calculation (PBE) of crystalline CaLa2Ni2 at its relaxed geometry.

Cell: 3.8696 4.2365 8.4340 Å, 104.55 90.00 90.00°
Atoms (fractional coordinates):
Ni 0.0000 0.8013 0.6026
Ni 0.0000 0.1987 0.3974
La 0.5000 0.6592 0.3183
La 0.5000 0.3408 0.6817
Ca 0.0000 0.0000 0.0000

* symmetry: Cmmm (65)
* crystal system: orthorhombic
* DOS at the Fermi energy: 0.93 states/eV/atom

Stability summary - winner: R; margin: 0.194 eV/atom.

## P
The following is a DFT calculation (PBE) of crystalline CaLa2Ni at its relaxed geometry.

Cell: 8.6858 8.6858 6.9805 Å, 51.53 51.53 90.00°
Atoms (fractional coordinates):
La 0.7041 0.1250 0.2500
La 0.3750 0.2959 0.7500
La 0.0459 0.6250 0.2500
La 0.8750 0.9541 0.7500
Ca 0.5000 0.5000 0.0000
Ca 0.2500 0.7500 0.5000
Ni 0.7500 0.2500 0.5000
Ni 0.0000 0.0000 0.0000

* symmetry: I-42d (122)
* crystal system: tetragonal
* DOS at the Fermi energy: 0.99 states/eV/atom

## Q
The following is a DFT calculation (PBE) of crystalline CaLa2Ni at its relaxed geometry.

Cell: 3.6329 3.6329 9.5955 Å, 90.00 90.00 89.32°
Atoms (fractional coordinates):
La 0.0000 0.0000 0.4178
La 0.0000 0.0000 0.0822
Ni 0.5000 0.5000 0.2500
Ca 0.5000 0.5000 0.7500

* symmetry: Cmmm (65)
* crystal system: orthorhombic
* DOS at the Fermi energy: 1.34 states/eV/atom

Stability summary - winner: Q; margin: 0.119 eV/atom.

## P
The following is a DFT calculation (PBE) of crystalline Ca3LaNi at its relaxed geometry.

Cell: 5.5447 5.5447 5.5447 Å, 90.00 90.00 90.00°
Atoms (fractional coordinates):
Ca 0.5000 0.0000 0.0000
Ca 0.0000 0.0000 0.5000
Ca 0.0000 0.5000 0.0000
La 0.5000 0.5000 0.5000
Ni 0.0000 0.0000 0.0000

* symmetry: Pm-3m (221)
* crystal system: cubic
* DOS at the Fermi energy: 1.26 states/eV/atom

## Q
The following is a DFT calculation (PBE) of crystalline Ca3LaNi at its relaxed geometry.

Cell: 5.6773 5.6773 5.6773 Å, 90.00 90.00 90.00°
Atoms (fractional coordinates):
Ni 0.5000 0.5000 0.5000
Ca 0.0000 0.0000 0.5000
Ca 0.0000 0.5000 0.0000
Ca 0.5000 0.0000 0.0000
La 0.0000 0.0000 0.0000

* symmetry: Pm-3m (221)
* crystal system: cubic
* DOS at the Fermi energy: 2.14 states/eV/atom

Stability summary - winner: P; margin: 1.342 eV/atom.

## P
The following is a DFT calculation (PBE) of crystalline Ca2La2Ni at its relaxed geometry.

Cell: 7.2336 7.2336 6.1601 Å, 90.00 90.00 90.00°
Atoms (fractional coordinates):
Ca 0.6662 0.1662 0.0000
Ca 0.8338 0.6662 0.0000
Ca 0.1662 0.3338 0.0000
Ca 0.3338 0.8338 0.0000
La 0.6675 0.8325 0.5000
La 0.8325 0.3325 0.5000
La 0.3325 0.1675 0.5000
La 0.1675 0.6675 0.5000
Ni 0.0000 0.0000 0.0000
Ni 0.5000 0.5000 0.0000

* symmetry: P4/mbm (127)
* crystal system: tetragonal
* DOS at the Fermi energy: 1.38 states/eV/atom

## Q
The following is a DFT calculation (PBE) of crystalline Ca2La2Ni at its relaxed geometry.

Cell: 7.3521 7.3521 6.2687 Å, 90.00 90.00 90.00°
Atoms (fractional coordinates):
Ca 0.6709 0.8291 0.5000
Ca 0.8291 0.3291 0.5000
Ca 0.3291 0.1709 0.5000
Ca 0.1709 0.6709 0.5000
La 0.8364 0.6636 0.0000
La 0.1636 0.3364 0.0000
La 0.6636 0.1636 0.0000
La 0.3364 0.8364 0.0000
Ni 0.0000 0.0000 0.0000
Ni 0.5000 0.5000 0.0000

* symmetry: P4/mbm (127)
* crystal system: tetragonal
* DOS at the Fermi energy: 1.34 states/eV/atom

Stability summary - winner: Q; margin: 0.141 eV/atom.